Entry from Alexandria via LeMat-Bulk: Sc6Sn2PbC after structural relaxation (PBE).

Cell: 5.034 5.034 9.724 Å, 90.00 90.00 90.00°
Positions (direct):
Sc 0.000 0.000 0.217
Sc 0.000 0.000 0.783
Sc 0.000 0.500 0.000
Sc 0.000 0.500 0.500
Sc 0.500 0.000 0.000
Sc 0.500 0.000 0.500
Sn 0.500 0.500 0.241
Sn 0.500 0.500 0.759
Pb 0.000 0.000 0.500
C 0.000 0.000 0.000

Calculated values
* total magnetic moment: 0.001 μB per cell
* energy of formation: -0.130 eV per atom



Entry from Alexandria via LeMat-Bulk: LaAlGaCu after structural relaxation (PBE).

Cell: 6.086 6.086 6.086 Å, 40.45 40.45 40.45°
Positions (direct):
La 0.000 0.000 0.000
Al 0.795 0.795 0.795
Ga 0.211 0.211 0.211
Cu 0.500 0.500 0.500

Calculated values
* total magnetic moment: 0.000 μB per cell
* energy of formation: -0.437 eV per atom
* distance to the lowest polymorph of the same formula: 0.0000 eV per atom



Entry from Alexandria via LeMat-Bulk: SiTcI2 after structural relaxation (PBE).

Cell: 4.946 4.946 4.946 Å, 60.00 60.00 60.00°
Positions (direct):
Si 0.000 0.000 0.000
Tc 0.500 0.500 0.500
I 0.250 0.250 0.250
I 0.750 0.750 0.750

Calculated values
* total magnetic moment: 0.000 μB per cell
* distance to the lowest polymorph of the same formula: 0.7279 eV per atom



Entry from Alexandria via LeMat-Bulk: KTlCl6 after structural relaxation (PBE).

Cell: 6.258 6.258 6.258 Å, 94.14 94.14 94.14°
Positions (direct):
K 0.000 0.000 0.000
Tl 0.500 0.500 0.500
Cl 0.207 0.207 0.596
Cl 0.207 0.596 0.207
Cl 0.404 0.793 0.793
Cl 0.596 0.207 0.207
Cl 0.793 0.404 0.793
Cl 0.793 0.793 0.404

Calculated values
* total magnetic moment: 2.032 μB per cell
* final energy: -2.411 eV/atom



Entry from Alexandria via LeMat-Bulk: ReOsAu2 after structural relaxation (PBE).

Cell: 5.026 5.026 5.026 Å, 134.21 134.21 66.76°
Positions (direct):
Re 0.000 0.000 0.000
Os 0.500 0.500 0.000
Au 0.250 0.750 0.500
Au 0.750 0.250 0.500

Calculated values
* total magnetic moment: 0.000 μB per cell
* energy of formation: 0.739 eV per atom
* distance to the lowest polymorph of the same formula: 0.5211 eV per atom



Entry from Alexandria via LeMat-Bulk: ZrReTc3 after structural relaxation (PBE).

Cell: 4.629 4.629 4.629 Å, 90.00 90.00 90.00°
Positions (direct):
Zr 0.000 0.000 0.000
Re 0.500 0.500 0.500
Tc 0.000 0.000 0.500
Tc 0.000 0.500 0.000
Tc 0.500 0.000 0.000

Calculated values
* total magnetic moment: 0.000 μB per cell
* energy of formation: 2.374 eV per atom
* distance to the lowest polymorph of the same formula: 1.2280 eV per atom



Number 1: V 246.5 Å³/f.u.. Number 2: V 85.6 Å³/f.u.. Number 3: V 85.6 Å³/f.u.. Number 4: V 243.1 Å³/f.u.. Number 5: V 64.2 Å³/f.u.. Number 6: V 99.2 Å³/f.u..